DFT (PBE-GGA) results for KZn2InCo after structural relaxation.

a b c (Å): 4.8154 4.8154 4.9280
angles (deg): 90.00 90.00 90.00
Last column: nearest neighbours and their distance in Å.
Positions (direct):
K1 0.0000 0.0000 0.0000  4 In 3.41, 8 Zn 3.45
Zn1 0.0000 0.5000 0.5000  2 Co 2.41
Zn2 0.5000 0.0000 0.5000  2 Co 2.41
In1 0.5000 0.5000 0.0000  2 Co 2.46
Co1 0.5000 0.5000 0.5000  4 Zn 2.41, 2 In 2.46

- Energy above the lowest structure with this stoichiometry: 0.000 eV per atom
- Formation enthalpy at 0 K: 1.027 kcal/mol of atoms
- Space group: No. 123
- M_tot: 0.00 Bohr magnetons per cell

---

DFT (PBE-GGA) results for BaBeW2 after structural relaxation.

a b c (Å): 10.4564 10.4564 10.4564
angles (deg): 16.10 16.10 16.10
Last column: nearest neighbours and their distance in Å.
Positions (direct):
Ba1 0.0000 0.0000 0.0000  6 Ba 2.93
Be1 0.5000 0.5000 0.5000  6 W 2.62, 6 Be 2.93
W1 0.2312 0.2312 0.2312  3 Be 2.62, 6 W 2.93
W2 0.7688 0.7688 0.7688  3 Be 2.62, 6 W 2.93

- Formation enthalpy at 0 K: 30.263 kcal/mol of atoms
- Space group: No. 166
- M_tot: 0.00 Bohr magnetons per cell

---

DFT (PBE-GGA) results for NaTb4Sc3Se8 after structural relaxation.

a b c (Å): 8.0160 8.0160 8.0160
angles (deg): 60.23 60.23 60.23
Last column: nearest neighbours and their distance in Å.
Positions (direct):
Na1 0.0000 0.0000 0.0000  6 Se 2.82
Tb1 0.0000 0.0000 0.5000  6 Se 2.90
Tb2 0.0000 0.5000 0.0000  6 Se 2.90
Tb3 0.5000 0.0000 0.0000  6 Se 2.90
Tb4 0.5000 0.5000 0.5000  6 Se 2.86
Sc1 0.0000 0.5000 0.5000  6 Se 2.78
Sc2 0.5000 0.0000 0.5000  6 Se 2.78
Sc3 0.5000 0.5000 0.0000  6 Se 2.78
Se1 0.2478 0.2478 0.7414  2 Sc 2.78, 1 Na 2.82, 3 Tb 2.86-2.90
Se2 0.2478 0.7414 0.2478  2 Sc 2.78, 1 Na 2.82, 3 Tb 2.86-2.90
Se3 0.2554 0.2554 0.2554  3 Sc 2.78, 3 Tb 2.90
Se4 0.2586 0.7522 0.7522  2 Sc 2.78, 1 Na 2.82, 3 Tb 2.86-2.90
Se5 0.7414 0.2478 0.2478  2 Sc 2.78, 1 Na 2.82, 3 Tb 2.86-2.90
Se6 0.7446 0.7446 0.7446  3 Sc 2.78, 3 Tb 2.90
Se7 0.7522 0.2586 0.7522  2 Sc 2.78, 1 Na 2.82, 3 Tb 2.86-2.90
Se8 0.7522 0.7522 0.2586  2 Sc 2.78, 1 Na 2.82, 3 Tb 2.86-2.90

- Formation energy (no corrections): -1.672 eV/atom
- Space group: No. 166
- M_tot: 0.00 Bohr magnetons per cell

---

DFT (PBE-GGA) results for TaTlCr2P after structural relaxation.

a b c (Å): 4.9745 4.9745 5.2336
angles (deg): 90.00 90.00 90.00
Last column: nearest neighbours and their distance in Å.
Positions (direct):
Ta1 0.0000 0.0000 0.0000  2 Tl 2.62
Tl1 0.0000 0.0000 0.5000  4 Cr 2.49, 2 Ta 2.62
Cr1 0.0000 0.5000 0.5000  2 Tl 2.49
Cr2 0.5000 0.0000 0.5000  2 Tl 2.49
P1 0.5000 0.5000 0.0000  4 Ta 3.52, 8 Cr 3.61

- Formation enthalpy at 0 K: 46.704 kcal/mol of atoms
- Space group: No. 123
- M_tot: 6.75 Bohr magnetons per cell

---

DFT (PBE-GGA) results for NaTi2O3 after structural relaxation.

a b c (Å): 3.0597 3.0597 7.8070
angles (deg): 90.00 90.00 120.00
Last column: nearest neighbours and their distance in Å.
Positions (direct):
Na1 0.0000 0.0000 0.0000  6 O 2.39
Ti1 0.3333 0.6667 0.6476  6 O 2.10-2.11
Ti2 0.6667 0.3333 0.3524  6 O 2.10-2.11
O1 0.0000 0.0000 0.5000  6 Ti 2.11
O2 0.3333 0.6667 0.2065  3 Ti 2.10
O3 0.6667 0.3333 0.7935  3 Ti 2.10

- Formation energy (no corrections): -2.432 eV/atom
- Energy above the lowest structure with this stoichiometry: 0.000 eV per atom
- Space group: No. 164
- M_tot: 0.00 Bohr magnetons per cell

---

DFT (PBE-GGA) results for SiAsPRh2C after structural relaxation.

a b c (Å): 4.2990 4.4237 4.8853
angles (deg): 84.91 89.50 80.94
Last column: nearest neighbours and their distance in Å.
Positions (direct):
Si1 0.0000 0.0000 0.0000  1 C 1.83
As1 0.4246 0.9319 0.3234  3 Rh 2.39-2.53, 1 Si 2.39
P1 0.9163 0.4231 0.6515  1 C 1.78
Rh1 0.4540 0.1413 0.7550  1 C 2.28, 1 As 2.39, 1 Si 2.42, 2 P 2.48-2.53
Rh2 0.6807 0.4075 0.2299  1 C 2.13, 1 P 2.31
C1 0.7913 0.7025 0.8866  1 P 1.78, 1 Si 1.83

- Formation energy (no corrections): 0.022 eV/atom
- Energy above the lowest structure with this stoichiometry: 0.299 eV per atom
- Space group: No. 1
- M_tot: 0.00 Bohr magnetons per cell

---

Number 1: energy -13.27 eV/cell. Number 2: energy -26.31 eV/cell. Number 3: energy -93.46 eV/cell. Number 4: energy -28.75 eV/cell. Number 5: energy -46.58 eV/cell. Number 6: energy -39.28 eV/cell.